No. 1
# AgGe2Au6 (GGA-PBE, relaxed)
# crystal system	monoclinic
data_AgGe2Au6
_space_group_name_H-M_alt 'C 1 2/c 1'
_space_group_IT_number 15
_cell_length_a 11.701
_cell_length_b 9.866
_cell_length_c 7.401
_cell_angle_alpha 90.00
_cell_angle_beta 124.38
_cell_angle_gamma 90.00
loop_
_space_group_symop_operation_xyz
'x,y,z'
'-x,-y,-z'
'-x,y,-z+1/2'
'x,-y,z+1/2'
'x+1/2,y+1/2,z'
'-x+1/2,-y+1/2,-z'
'-x+1/2,y+1/2,-z+1/2'
'x+1/2,-y+1/2,z+1/2'
loop_
_atom_site_label
_atom_site_type_symbol
_atom_site_fract_x
_atom_site_fract_y
_atom_site_fract_z
Ag1 Ag 0.000 0.134 0.250
Ge1 Ge 0.212 0.452 0.554
Au1 Au 0.065 0.380 0.121
Au2 Au 0.110 0.108 0.990
Au3 Au 0.169 0.222 0.699

No. 2
# BeNb2RhC (GGA-PBE, relaxed)
# crystal system	tetragonal
data_BeNb2RhC
_space_group_name_H-M_alt 'P 4/m m m'
_space_group_IT_number 123
_space_group_name_Hall '-P 4 2'
_cell_length_a 4.658
_cell_length_b 4.658
_cell_length_c 3.076
_cell_angle_alpha 90.00
_cell_angle_beta 90.00
_cell_angle_gamma 90.00
loop_
_atom_site_label
_atom_site_type_symbol
_atom_site_fract_x
_atom_site_fract_y
_atom_site_fract_z
Be1 Be 0.000 0.000 0.000
Nb1 Nb 0.000 0.500 0.000
Rh1 Rh 0.500 0.500 0.500
C1 C 0.000 0.000 0.500

| no. | DFT total energy (eV/atom) | DFT formation energy (meV/atom) |
| --- | --- | --- |
| 1 | -3.4690 | 59 |
| 2 | -7.5895 | 499 |